Record 1
# LiSmGdHg, relaxed, DFT PBE
data_LiSmGdHg
_chemical_formula_sum 'Li4 Sm4 Gd4 Hg4'
_cell_length_a 7.489
_cell_length_b 7.489
_cell_length_c 7.489
_cell_angle_alpha 90.00
_cell_angle_beta 90.00
_cell_angle_gamma 90.00
_space_group_name_H-M_alt 'P 1'
_space_group_IT_number 1
_space_group_name_Hall 'P 1'
loop_
_atom_site_label
_atom_site_type_symbol
_atom_site_fract_x
_atom_site_fract_y
_atom_site_fract_z
_atom_site_occupancy
Li1 Li 0.000 0.000 0.000 1
Li2 Li 0.000 0.500 0.500 1
Li3 Li 0.500 0.000 0.500 1
Li4 Li 0.500 0.500 0.000 1
Sm1 Sm 0.250 0.250 0.750 1
Sm2 Sm 0.250 0.750 0.250 1
Sm3 Sm 0.750 0.250 0.250 1
Sm4 Sm 0.750 0.750 0.750 1
Gd1 Gd 0.250 0.250 0.250 1
Gd2 Gd 0.250 0.750 0.750 1
Gd3 Gd 0.750 0.250 0.750 1
Gd4 Gd 0.750 0.750 0.250 1
Hg1 Hg 0.000 0.000 0.500 1
Hg2 Hg 0.000 0.500 0.000 1
Hg3 Hg 0.500 0.000 0.000 1
Hg4 Hg 0.500 0.500 0.500 1
# D(E_F) = 17.87 states/eV per cell
# Energy of formation from the pure elements = -0.9 eV/f.u.
# Calculated volume = 420 Å³ per cell
# SG = No. 216
# Calculated total energy = -87.65 eV per cell
# Total magnetic moment = 31.474 Bohr magnetons per cell
# ρ = 8.15 g/cm³



Record 2
# Pu2NiAg, relaxed, DFT PBE
data_Pu2NiAg
_chemical_formula_sum 'Pu8 Ni4 Ag4'
_cell_length_a 7.061
_cell_length_b 7.061
_cell_length_c 7.061
_cell_angle_alpha 90.00
_cell_angle_beta 90.00
_cell_angle_gamma 90.00
_space_group_name_H-M_alt 'P 1'
_space_group_IT_number 1
_space_group_name_Hall 'P 1'
loop_
_atom_site_label
_atom_site_type_symbol
_atom_site_fract_x
_atom_site_fract_y
_atom_site_fract_z
_atom_site_occupancy
Pu1 Pu 0.250 0.250 0.250 1
Pu2 Pu 0.250 0.250 0.750 1
Pu3 Pu 0.250 0.750 0.250 1
Pu4 Pu 0.250 0.750 0.750 1
Pu5 Pu 0.750 0.250 0.250 1
Pu6 Pu 0.750 0.250 0.750 1
Pu7 Pu 0.750 0.750 0.250 1
Pu8 Pu 0.750 0.750 0.750 1
Ni1 Ni 0.000 0.000 0.000 1
Ni2 Ni 0.000 0.500 0.500 1
Ni3 Ni 0.500 0.000 0.500 1
Ni4 Ni 0.500 0.500 0.000 1
Ag1 Ag 0.000 0.000 0.500 1
Ag2 Ag 0.000 0.500 0.000 1
Ag3 Ag 0.500 0.000 0.000 1
Ag4 Ag 0.500 0.500 0.500 1
# D(E_F) = 71.51 states/eV per cell
# Energy of formation from the pure elements = 0.6 eV/f.u.
# Calculated volume = 352 Å³ per cell
# SG = No. 225
# Calculated total energy = -146.95 eV per cell
# Offset from the most stable computed form = 136 meV/atom
# Total magnetic moment = 45.846 Bohr magnetons per cell
# ρ = 12.35 g/cm³



Record 3
# AcY2Te, relaxed, DFT PBE
data_AcY2Te
_chemical_formula_sum 'Ac3 Y6 Te3'
_cell_length_a 3.912
_cell_length_b 3.912
_cell_length_c 33.606
_cell_angle_alpha 90.00
_cell_angle_beta 90.00
_cell_angle_gamma 120.00
_space_group_name_H-M_alt 'P 1'
_space_group_IT_number 1
_space_group_name_Hall 'P 1'
loop_
_atom_site_label
_atom_site_type_symbol
_atom_site_fract_x
_atom_site_fract_y
_atom_site_fract_z
_atom_site_occupancy
Ac1 Ac 0.000 0.000 0.000 1
Ac2 Ac 0.333 0.667 0.667 1
Ac3 Ac 0.667 0.333 0.333 1
Y1 Y 0.000 0.000 0.107 1
Y2 Y 0.000 0.000 0.893 1
Y3 Y 0.333 0.667 0.559 1
Y4 Y 0.333 0.667 0.774 1
Y5 Y 0.667 0.333 0.226 1
Y6 Y 0.667 0.333 0.441 1
Te1 Te 0.000 0.000 0.500 1
Te2 Te 0.333 0.667 0.167 1
Te3 Te 0.667 0.333 0.833 1
# Formation energy (no corrections) = -331 meV per atom
# D(E_F) = 17.30 states/eV per cell
# Calculated volume = 445 Å³ per cell
# SG = No. 166
# Calculated total energy = -64.51 eV per cell
# Offset from the most stable computed form = 237 meV/atom
# Total magnetic moment = 0.000 Bohr magnetons per cell
# ρ = 5.95 g/cm³



Record 4
# PmSmEu2, relaxed, DFT PBE
data_PmSmEu2
_chemical_formula_sum 'Pm4 Sm4 Eu8'
_cell_length_a 8.389
_cell_length_b 8.389
_cell_length_c 8.389
_cell_angle_alpha 90.00
_cell_angle_beta 90.00
_cell_angle_gamma 90.00
_space_group_name_H-M_alt 'P 1'
_space_group_IT_number 1
_space_group_name_Hall 'P 1'
loop_
_atom_site_label
_atom_site_type_symbol
_atom_site_fract_x
_atom_site_fract_y
_atom_site_fract_z
_atom_site_occupancy
Pm1 Pm 0.000 0.000 0.000 1
Pm2 Pm 0.000 0.500 0.500 1
Pm3 Pm 0.500 0.000 0.500 1
Pm4 Pm 0.500 0.500 0.000 1
Sm1 Sm 0.000 0.000 0.500 1
Sm2 Sm 0.000 0.500 0.000 1
Sm3 Sm 0.500 0.000 0.000 1
Sm4 Sm 0.500 0.500 0.500 1
Eu1 Eu 0.250 0.250 0.250 1
Eu2 Eu 0.250 0.250 0.750 1
Eu3 Eu 0.250 0.750 0.250 1
Eu4 Eu 0.250 0.750 0.750 1
Eu5 Eu 0.750 0.250 0.250 1
Eu6 Eu 0.750 0.250 0.750 1
Eu7 Eu 0.750 0.750 0.250 1
Eu8 Eu 0.750 0.750 0.750 1
# D(E_F) = 20.05 states/eV per cell
# Energy of formation from the pure elements = 0.6 eV/f.u.
# Calculated volume = 590 Å³ per cell
# SG = No. 225
# Calculated total energy = -117.82 eV per cell
# Offset from the most stable computed form = 58 meV/atom
# Total magnetic moment = 58.527 Bohr magnetons per cell
# ρ = 6.74 g/cm³



Record 5
# YPu2Mn3, relaxed, DFT PBE
data_YPu2Mn3
_chemical_formula_sum 'Y2 Pu4 Mn6'
_cell_length_a 6.094
_cell_length_b 6.094
_cell_length_c 6.240
_cell_angle_alpha 90.00
_cell_angle_beta 90.00
_cell_angle_gamma 79.35
_space_group_name_H-M_alt 'P 1'
_space_group_IT_number 1
_space_group_name_Hall 'P 1'
loop_
_atom_site_label
_atom_site_type_symbol
_atom_site_fract_x
_atom_site_fract_y
_atom_site_fract_z
_atom_site_occupancy
Y1 Y 0.193 0.807 0.750 1
Y2 Y 0.807 0.193 0.250 1
Pu1 Pu 0.283 0.283 0.000 1
Pu2 Pu 0.283 0.283 0.500 1
Pu3 Pu 0.717 0.717 0.000 1
Pu4 Pu 0.717 0.717 0.500 1
Mn1 Mn 0.000 0.322 0.750 1
Mn2 Mn 0.000 0.678 0.250 1
Mn3 Mn 0.322 0.000 0.250 1
Mn4 Mn 0.421 0.579 0.250 1
Mn5 Mn 0.579 0.421 0.750 1
Mn6 Mn 0.678 0.000 0.750 1
# D(E_F) = 20.85 states/eV per cell
# Energy of formation from the pure elements = 1.0 eV/f.u.
# Calculated volume = 228 Å³ per cell
# SG = No. 63
# Calculated total energy = -123.23 eV per cell
# Total magnetic moment = 7.641 Bohr magnetons per cell
# ρ = 10.82 g/cm³



Record 6
# Na2LaSm3Te6, relaxed, DFT PBE
data_Na2LaSm3Te6
_chemical_formula_sum 'Na2 La1 Sm3 Te6'
_cell_length_a 7.740
_cell_length_b 7.740
_cell_length_c 7.933
_cell_angle_alpha 99.37
_cell_angle_beta 99.37
_cell_angle_gamma 119.99
_space_group_name_H-M_alt 'P 1'
_space_group_IT_number 1
_space_group_name_Hall 'P 1'
loop_
_atom_site_label
_atom_site_type_symbol
_atom_site_fract_x
_atom_site_fract_y
_atom_site_fract_z
_atom_site_occupancy
Na1 Na 0.167 0.833 0.000 1
Na2 Na 0.833 0.167 0.000 1
La1 La 0.500 0.500 0.000 1
Sm1 Sm 0.000 0.000 0.500 1
Sm2 Sm 0.333 0.667 0.500 1
Sm3 Sm 0.667 0.333 0.500 1
Te1 Te 0.080 0.415 0.745 1
Te2 Te 0.250 0.250 0.256 1
Te3 Te 0.415 0.080 0.745 1
Te4 Te 0.585 0.920 0.255 1
Te5 Te 0.750 0.750 0.744 1
Te6 Te 0.920 0.585 0.255 1
# Formation energy (no corrections) = -1385 meV per atom
# D(E_F) = 4.18 states/eV per cell
# Calculated volume = 389 Å³ per cell
# SG = No. 12
# Calculated total energy = -57.20 eV per cell
# Total magnetic moment = 0.000 Bohr magnetons per cell
# ρ = 5.98 g/cm³



Record 7
# CrIr2Pb, relaxed, DFT PBE
data_CrIr2Pb
_chemical_formula_sum 'Cr1 Ir2 Pb1'
_cell_length_a 4.181
_cell_length_b 4.181
_cell_length_c 3.791
_cell_angle_alpha 90.00
_cell_angle_beta 90.00
_cell_angle_gamma 90.00
_space_group_name_H-M_alt 'P 1'
_space_group_IT_number 1
_space_group_name_Hall 'P 1'
loop_
_atom_site_label
_atom_site_type_symbol
_atom_site_fract_x
_atom_site_fract_y
_atom_site_fract_z
_atom_site_occupancy
Cr1 Cr 0.000 0.000 0.000 1
Ir1 Ir 0.000 0.500 0.500 1
Ir2 Ir 0.500 0.000 0.500 1
Pb1 Pb 0.500 0.500 0.000 1
# D(E_F) = 3.29 states/eV per cell
# Energy of formation from the pure elements = 1.2 eV/f.u.
# Calculated volume = 66 Å³ per cell
# SG = No. 123
# Calculated total energy = -29.84 eV per cell
# Total magnetic moment = 3.536 Bohr magnetons per cell
# ρ = 16.13 g/cm³



Record 8
# Ca2HoCd6, relaxed, DFT PBE
data_Ca2HoCd6
_chemical_formula_sum 'Ca2 Ho1 Cd6'
_cell_length_a 8.670
_cell_length_b 8.670
_cell_length_c 3.515
_cell_angle_alpha 90.00
_cell_angle_beta 90.00
_cell_angle_gamma 120.00
_space_group_name_H-M_alt 'P 1'
_space_group_IT_number 1
_space_group_name_Hall 'P 1'
loop_
_atom_site_label
_atom_site_type_symbol
_atom_site_fract_x
_atom_site_fract_y
_atom_site_fract_z
_atom_site_occupancy
Ca1 Ca 0.333 0.667 0.000 1
Ca2 Ca 0.667 0.333 0.000 1
Ho1 Ho 0.000 0.000 0.000 1
Cd1 Cd 0.000 0.332 0.500 1
Cd2 Cd 0.000 0.668 0.500 1
Cd3 Cd 0.332 0.000 0.500 1
Cd4 Cd 0.332 0.332 0.500 1
Cd5 Cd 0.668 0.000 0.500 1
Cd6 Cd 0.668 0.668 0.500 1
# D(E_F) = 5.49 states/eV per cell
# Energy of formation from the pure elements = -2.9 eV/f.u.
# Calculated volume = 229 Å³ per cell
# SG = No. 191
# Calculated total energy = -16.96 eV per cell
# Total magnetic moment = 0.000 Bohr magnetons per cell
# ρ = 6.67 g/cm³